{
  "formula": "PbWIO2",
  "functional": "PBE+U",
  "state": "relaxed",
  "crystal_system": "tetragonal",
  "n_ef_per_ev_cell": 1.720,
  "m_tot_mub_per_cell": 4.7,
  "energy_ev_per_atom": -4.101,
  "lattice_angstrom": [[4.302, 0.000, 0.000], [0.000, 4.302, 0.000], [0.000, 0.000, 6.129]],
  "species": ["Pb", "W", "I", "O", "O"],
  "frac_coords": [[0.000, 0.000, 0.000], [0.500, 0.500, 0.500], [0.000, 0.000, 0.500], [0.000, 0.500, 0.000], [0.500, 0.000, 0.000]]
}